# BiAsS3, optimized geometry, DFT GGA-PBE
data_BiAsS3
_chemical_formula_sum 'Bi1 As1 S3'
_cell_length_a 5.159
_cell_length_b 5.159
_cell_length_c 5.159
_cell_angle_alpha 90.00
_cell_angle_beta 90.00
_cell_angle_gamma 90.00
_space_group_name_H-M_alt 'P 1'
_space_group_IT_number 1
loop_
_space_group_symop_operation_xyz
'x,y,z'
loop_
_atom_site_label
_atom_site_type_symbol
_atom_site_fract_x
_atom_site_fract_y
_atom_site_fract_z
Bi1 Bi 0.000 0.000 0.000
As1 As 0.500 0.500 0.500
S1 S 0.000 0.000 0.500
S2 S 0.000 0.500 0.000
S3 S 0.500 0.000 0.000
# * uncorrected formation energy: 4.52 eV per formula unit
# * relative energy among the computed polymorphs: 1114 meV per atom
# * SG: Pm-3m

# GaCoSe2N, optimized geometry, DFT GGA-PBE
data_GaCoSe2N
_chemical_formula_sum 'Ga1 Co1 Se2 N1'
_cell_length_a 5.027
_cell_length_b 5.027
_cell_length_c 3.381
_cell_angle_alpha 90.00
_cell_angle_beta 90.00
_cell_angle_gamma 90.00
_space_group_name_H-M_alt 'P 1'
_space_group_IT_number 1
loop_
_space_group_symop_operation_xyz
'x,y,z'
loop_
_atom_site_label
_atom_site_type_symbol
_atom_site_fract_x
_atom_site_fract_y
_atom_site_fract_z
Ga1 Ga 0.000 0.000 0.000
Co1 Co 0.500 0.500 0.500
Se1 Se 0.000 0.500 0.500
Se2 Se 0.500 0.000 0.500
N1 N 0.500 0.500 0.000
# * uncorrected formation energy: 1.28 eV per formula unit
# * relative energy among the computed polymorphs: 0 meV per atom
# * SG: P4/mmm

# KNa2LiF4, optimized geometry, DFT GGA-PBE
data_KNa2LiF4
_chemical_formula_sum 'K2 Na4 Li2 F8'
_cell_length_a 5.985
_cell_length_b 5.985
_cell_length_c 11.513
_cell_angle_alpha 90.00
_cell_angle_beta 90.00
_cell_angle_gamma 147.26
_space_group_name_H-M_alt 'P 1'
_space_group_IT_number 1
loop_
_space_group_symop_operation_xyz
'x,y,z'
loop_
_atom_site_label
_atom_site_type_symbol
_atom_site_fract_x
_atom_site_fract_y
_atom_site_fract_z
K1 K 0.109 0.891 0.750
K2 K 0.891 0.109 0.250
Na1 Na 0.367 0.633 0.543
Na2 Na 0.367 0.633 0.957
Na3 Na 0.633 0.367 0.043
Na4 Na 0.633 0.367 0.457
Li1 Li 0.160 0.840 0.250
Li2 Li 0.840 0.160 0.750
F1 F 0.000 0.000 0.000
F2 F 0.000 0.000 0.500
F3 F 0.256 0.744 0.121
F4 F 0.256 0.744 0.379
F5 F 0.422 0.578 0.750
F6 F 0.578 0.422 0.250
F7 F 0.744 0.256 0.621
F8 F 0.744 0.256 0.879
# * uncorrected formation energy: -22.13 eV per formula unit
# * SG: Cmcm

# AgGeBi2, optimized geometry, DFT GGA-PBE
data_AgGeBi2
_chemical_formula_sum 'Ag2 Ge2 Bi4'
_cell_length_a 7.737
_cell_length_b 7.737
_cell_length_c 7.737
_cell_angle_alpha 129.09
_cell_angle_beta 129.09
_cell_angle_gamma 74.86
_space_group_name_H-M_alt 'P 1'
_space_group_IT_number 1
loop_
_space_group_symop_operation_xyz
'x,y,z'
loop_
_atom_site_label
_atom_site_type_symbol
_atom_site_fract_x
_atom_site_fract_y
_atom_site_fract_z
Ag1 Ag 0.000 0.000 0.000
Ag2 Ag 0.750 0.250 0.500
Ge1 Ge 0.250 0.750 0.500
Ge2 Ge 0.500 0.500 0.000
Bi1 Bi 0.129 0.625 0.004
Bi2 Bi 0.375 0.379 0.504
Bi3 Bi 0.621 0.125 0.996
Bi4 Bi 0.875 0.871 0.496
# * energy relative to the elements: 0.237 eV per atom
# * SG: I-42d

Going through the records in order, we get total energy values of -3.278 -4.829 -4.407 -3.570 eV/atom.
Going through the records in order, we get spin magnetization values of 0.00 0.00 0.31 0.00 Bohr magnetons per cell.